# PmEuPt2

PmEuPt2 after structural relaxation (GGA-PBE, the Alexandria database).

```
PmEuPt2
1.0
3.5869 0.0000 0.0000
0.0000 3.5869 0.0000
0.0000 0.0000 7.2151
Pm Eu Pt
1 1 2
Direct
0.0000 0.0000 0.0000
0.0000 0.0000 0.5000
0.5000 0.5000 0.2325
0.5000 0.5000 0.7675
```

Summary:
ΔH_f (0 K)	-4.1	eV/f.u.
total energy	-7.801	eV/atom
mass density	12.3	g cm⁻³
D(E_F)	11.68	states/eV per cell
space group	P4/mmm
offset from the most stable computed form	0	meV per atom